1.
Below is a geometry-optimized Zr2HgCl structure, with properties calculated at the GGA-PBE level.

Results
Relative energy among the computed polymorphs ... 13.32 kcal/mol of atoms
Formation energy without anion corrections ... 33.9 meV/atom
Uncorrected energy ... -4.78 eV/atom

abc: 5.9566 5.9566 5.9566
angles: 139.75 139.75 58.23
Fractional positions:
Cl: 0.5000 0.5000 0.0000
Hg: 0.7500 0.2500 0.5000
Zr: 0.0000 0.0000 0.0000
Zr: 0.2500 0.7500 0.5000

2.
Below is a geometry-optimized TaBeS2N structure, with properties calculated at the GGA-PBE level.

Results
Relative energy among the computed polymorphs ... 0.08 kcal/mol of atoms
Formation energy without anion corrections ... 307.0 meV/atom
Uncorrected energy ... -6.12 eV/atom

abc: 4.8986 4.8986 3.8507
angles: 90.00 90.00 90.00
Fractional positions:
Be: 0.5000 0.5000 0.5000
S: 0.0000 0.5000 0.0000
S: 0.5000 0.0000 0.0000
N: 0.0000 0.0000 0.5000
Ta: 0.0000 0.0000 0.0000

3.
Below is a geometry-optimized Zr3GaAg structure, with properties calculated at the GGA-PBE level.

Results
Relative energy among the computed polymorphs ... 7.01 kcal/mol of atoms
Uncorrected energy ... -5.45 eV/atom
Energy relative to the elements ... 4.25 eV per formula unit

abc: 5.1184 5.1184 5.1184
angles: 90.00 90.00 90.00
Fractional positions:
Ga: 0.5000 0.5000 0.5000
Zr: 0.0000 0.5000 0.0000
Zr: 0.0000 0.0000 0.5000
Zr: 0.5000 0.0000 0.0000
Ag: 0.0000 0.0000 0.0000